Below is an optimized crystal structure of CsZn5As4, with properties calculated at the PBE-GGA level.

Structure (POSCAR):
```
CsZn5As4
1.0
6.005 -7.430 0.000
6.005 7.430 0.000
0.000 0.000 5.540
Cs Zn As
2 10 8
Cartesian
3.002 0.000 0.000
9.007 0.000 0.000
6.005 7.182 4.272
3.475 3.715 4.396
6.005 3.715 2.382
8.534 3.715 4.396
6.005 0.248 4.272
6.005 -0.248 1.268
3.475 -3.715 1.144
6.005 -3.715 3.158
8.534 -3.715 1.144
6.005 -7.182 1.268
1.579 1.818 2.743
4.425 1.818 2.797
1.579 -1.818 2.797
4.425 -1.818 2.743
7.584 1.818 2.797
10.430 1.818 2.743
7.584 -1.818 2.743
10.430 -1.818 2.797
```

Total magnetic moment = 0.00 μB/atom
Symmetry = Cmme, No. 67
Total DFT energy (no corrections) = -0.1835 Ry per atom